Density functional theory data (GGA-PBE) for an optimized crystal structure of KFeIr2.

Properties
Its crystal system is tetragonal. Its calculated volume is 17.08 Å³/atom. Its formation energy is 1196 meV per atom. The value obtained for the spin magnetization is 4.5 μB/f.u. The calculation puts the density of states at the Fermi level at 4.79 states/eV/f.u. The energy above the most stable polymorph in this dataset comes out at 755.5 meV/atom.

abc: 4.0866 4.0866 8.1820
angles: 90.00 90.00 90.00
Last column: nearest neighbours and their distance in Å.
Space group I4/mmm (No. 139)
Unique sites:
1 K 0.0000 0.0000 0.0000 x2  4 Fe 2.89, 8 Ir 2.89
2 Fe 0.0000 0.0000 0.5000 x2  4 K 2.89, 8 Ir 2.89
3 Ir 0.0000 0.5000 0.2500 x4  4 Ir 2.89, 4 Fe 2.89, 4 K 2.89

=====

Density functional theory data (GGA-PBE) for an optimized crystal structure of PuIF.

Properties
Its crystal system is tetragonal. Its calculated volume is 24.08 Å³/atom. The calculation puts the raw total energy at -7.7368 eV/atom. The value obtained for the spin magnetization is 6.0 μB/f.u. The calculation puts the density of states at the Fermi level at 8.65 states/eV/f.u.

abc: 3.6149 3.6149 11.0583
angles: 90.00 90.00 90.00
Last column: nearest neighbours and their distance in Å.
Space group I4mm (No. 107)
Unique sites:
1 Pu 0.0000 0.0000 0.0000 x2  4 F 2.68
2 I 0.0000 0.0000 0.3046 x2  1 F 2.98
3 F 0.0000 0.0000 0.5742 x2  4 Pu 2.68, 1 I 2.98

=====

Density functional theory data (GGA-PBE) for an optimized crystal structure of SrRhF2.

Properties
Its crystal system is trigonal. Its calculated volume is 20.30 Å³/atom. The value obtained for the spin magnetization is 1.0 μB/f.u. The calculation puts the density of states at the Fermi level at 1.94 states/eV/f.u. The energy above the most stable polymorph in this dataset comes out at 0.0 meV/atom.

abc: 4.0119 4.0119 17.4741
angles: 90.00 90.00 120.00
Last column: nearest neighbours and their distance in Å.
Space group R-3m (No. 166, hexagonal axes)
Unique sites:
1 Sr 0.0000 0.0000 0.0000 x3  6 F 2.44
2 Rh 0.0000 0.0000 0.5000 x3  2 F 2.13
3 F 0.0000 0.0000 0.3780 x6  1 Rh 2.13

=====

Density functional theory data (GGA-PBE) for an optimized crystal structure of TaCrCo2.

Properties
Its crystal system is tetragonal. Its calculated volume is 12.56 Å³/atom. Its formation energy is 30 meV per atom. The value obtained for the spin magnetization is 0.0 μB/f.u. The calculation puts the density of states at the Fermi level at 4.89 states/eV/f.u. The energy above the most stable polymorph in this dataset comes out at 69.3 meV/atom.

abc: 2.6673 2.6673 7.0624
angles: 90.00 90.00 90.00
Last column: nearest neighbours and their distance in Å.
Space group P4/mmm (No. 123)
Unique sites:
1 Ta 0.0000 0.0000 0.0000 x1  4 Ta 2.67, 8 Co 2.72
2 Cr 0.0000 0.0000 0.5000 x1  8 Co 2.46, 4 Cr 2.67
3 Co 0.5000 0.5000 0.2768 x2  4 Cr 2.46, 4 Co 2.67, 4 Ta 2.72

=====

Density functional theory data (GGA-PBE) for an optimized crystal structure of TbZnGeRh.

Properties
Its crystal system is cubic. Its calculated volume is 17.51 Å³/atom. Its formation energy is -545 meV per atom. The value obtained for the spin magnetization is 0.0 μB/f.u. The calculation puts the density of states at the Fermi level at 1.32 states/eV/f.u.

abc: 6.5437 6.5437 6.5437
angles: 90.00 90.00 90.00
Last column: nearest neighbours and their distance in Å.
Space group F-43m (No. 216)
Unique sites:
1 Tb 0.0000 0.0000 0.0000 x4  4 Zn 2.83, 4 Ge 2.83
2 Zn 0.2500 0.2500 0.7500 x4  4 Rh 2.83, 4 Tb 2.83
3 Ge 0.2500 0.2500 0.2500 x4  4 Tb 2.83, 4 Rh 2.83
4 Rh 0.0000 0.0000 0.5000 x4  4 Ge 2.83, 4 Zn 2.83

=====

Density functional theory data (GGA-PBE) for an optimized crystal structure of AsPC.

Properties
Its crystal system is monoclinic. Its calculated volume is 15.77 Å³/atom. Its formation energy is 403 meV per atom. The value obtained for the spin magnetization is 0.0 μB/f.u. The calculation puts the density of states at the Fermi level at 0.35 states/eV/f.u. The energy above the most stable polymorph in this dataset comes out at 23.7 meV/atom.

abc: 13.7887 2.8639 5.1580
angles: 90.00 111.69 90.00
Last column: nearest neighbours and their distance in Å.
Space group Cc (No. 9)
Unique sites:
1 As 0.0000 0.1605 0.0000 x4  1 C 2.06
2 P 0.2242 0.2635 0.8917 x4  3 C 1.86-1.90
3 C 0.1597 0.2322 0.1594 x4  3 P 1.86-1.90, 1 As 2.06

=====

Density functional theory data (GGA-PBE) for an optimized crystal structure of Ho7CBr12.

Properties
Its crystal system is trigonal. Its calculated volume is 29.03 Å³/atom. The calculation puts the raw total energy at -4.6374 eV/atom. The value obtained for the spin magnetization is 0.4 μB/f.u. The calculation puts the density of states at the Fermi level at 12.31 states/eV/f.u.

abc: 14.4317 14.4317 9.6582
angles: 90.00 90.00 120.00
Last column: nearest neighbours and their distance in Å.
Space group R-3 (No. 148, hexagonal axes)
Unique sites:
1 Ho 0.0000 0.0000 0.0000 x3  6 Br 2.84
2 Ho 0.0431 0.1558 0.3551 x18  1 C 2.45
3 C 0.0000 0.0000 0.5000 x3  6 Ho 2.45
4 Br 0.0241 0.5861 0.1642 x18  3 Ho 2.83-3.15
5 Br 0.0511 0.1829 0.8364 x18  3 Ho 2.84-2.88

=====

Density functional theory data (GGA-PBE) for an optimized crystal structure of LiNdTl2Cl6.

Properties
Its crystal system is monoclinic. Its calculated volume is 28.95 Å³/atom. The calculation puts the raw total energy at -3.9332 eV/atom. The value obtained for the spin magnetization is 0.0 μB/f.u. The calculation puts the density of states at the Fermi level at 0.00 states/eV/f.u.

abc: 7.3422 7.5523 12.7318
angles: 90.00 124.90 90.00
Last column: nearest neighbours and their distance in Å.
Space group P2_1/c (No. 14)
Unique sites:
1 Li 0.0000 0.0000 0.0000 x2  6 Cl 2.61-2.67
2 Nd 0.5000 0.0000 0.5000 x2  6 Cl 2.74-2.75
3 Tl 0.2337 0.0579 0.7477 x4  8 Cl 3.25-3.64
4 Cl 0.1605 0.2103 0.4603 x4  1 Li 2.67, 1 Nd 2.75
5 Cl 0.2512 0.7036 0.4606 x4  1 Li 2.66, 1 Nd 2.75
6 Cl 0.3206 0.0156 0.2430 x4  1 Li 2.61, 1 Nd 2.74

=====

Density functional theory data (GGA-PBE) for an optimized crystal structure of CaAc4Au4.

Properties
Its crystal system is tetragonal. Its calculated volume is 34.90 Å³/atom. Its formation energy is -669 meV per atom. The value obtained for the spin magnetization is 0.0 μB/f.u. The calculation puts the density of states at the Fermi level at 7.20 states/eV/f.u.

abc: 9.9947 9.9947 6.2888
angles: 90.00 90.00 90.00
Last column: nearest neighbours and their distance in Å.
Space group P4_2/n (No. 86, origin choice 2)
Unique sites:
1 Ca 0.2500 0.2500 0.2500 x2  4 Au 3.04
2 Ac 0.0443 0.6550 0.2489 x8  5 Au 3.14-3.25
3 Au 0.0394 0.6561 0.7489 x8  1 Ca 3.04, 5 Ac 3.14-3.25

=====

Density functional theory data (GGA-PBE) for an optimized crystal structure of CeDyTlRu.

Properties
Its crystal system is cubic. Its calculated volume is 24.08 Å³/atom. Its formation energy is -159 meV per atom. The value obtained for the spin magnetization is 0.6 μB/f.u. The calculation puts the density of states at the Fermi level at 5.97 states/eV/f.u. The energy above the most stable polymorph in this dataset comes out at 215.6 meV/atom.

abc: 7.2763 7.2763 7.2763
angles: 90.00 90.00 90.00
Last column: nearest neighbours and their distance in Å.
Space group F-43m (No. 216)
Unique sites:
1 Ce 0.0000 0.0000 0.0000 x4  4 Tl 3.15, 4 Ru 3.15
2 Dy 0.0000 0.0000 0.5000 x4  4 Tl 3.15, 4 Ru 3.15
3 Tl 0.2500 0.2500 0.2500 x4  4 Dy 3.15, 4 Ce 3.15
4 Ru 0.2500 0.2500 0.7500 x4  4 Dy 3.15, 4 Ce 3.15

=====

Density functional theory data (GGA-PBE) for an optimized crystal structure of BaCa3Pd.

Properties
Its crystal system is orthorhombic. Its calculated volume is 36.73 Å³/atom. Its formation energy is -229 meV per atom. The value obtained for the spin magnetization is 0.0 μB/f.u. The calculation puts the density of states at the Fermi level at 3.82 states/eV/f.u. The energy above the most stable polymorph in this dataset comes out at 82.5 meV/atom.

abc: 7.0546 11.7976 8.8264
angles: 90.00 90.00 90.00
Last column: nearest neighbours and their distance in Å.
Space group Pnma (No. 62)
Unique sites:
1 Ba 0.2138 0.2500 0.0811 x4  2 Pd 3.39, 3 Ca 3.61-3.71
2 Ca 0.1449 0.5048 0.3217 x8  2 Pd 2.96-3.02
3 Ca 0.2474 0.2500 0.5883 x4  2 Pd 3.53, 1 Ba 3.61, 4 Ca 3.63-3.89
4 Pd 0.0000 0.0000 0.0000 x4  4 Ca 2.96-3.02

=====

Density functional theory data (GGA-PBE) for an optimized crystal structure of CeZr2Zn9.

Properties
Its crystal system is trigonal. Its calculated volume is 17.19 Å³/atom. Its formation energy is -280 meV per atom. The value obtained for the spin magnetization is 1.9 μB/f.u. The calculation puts the density of states at the Fermi level at 11.10 states/eV/f.u.

abc: 5.3104 5.3104 25.3439
angles: 90.00 90.00 120.00
Last column: nearest neighbours and their distance in Å.
Space group R-3m (No. 166, hexagonal axes)
Unique sites:
1 Ce 0.0000 0.0000 0.0000 x3  18 Zn 3.07-3.43
2 Zr 0.0000 0.0000 0.1438 x6  12 Zn 3.03-3.12, 3 Zr 3.28
3 Zn 0.0000 0.0000 0.3354 x6  6 Zn 2.64-2.68
4 Zn 0.0000 0.0000 0.5000 x3  6 Zn 2.58
5 Zn 0.0081 0.5040 0.9142 x18  7 Zn 2.58-2.72